# 1
# Sr2SbO4 | the Alexandria database | PBE | relaxed
# crystal system	orthorhombic
# formation energy from raw total energies	-2.20	eV/atom
data_Sr2SbO4
_cell_length_a 6.1599
_cell_length_b 10.2507
_cell_length_c 3.5208
_cell_angle_alpha 90.00
_cell_angle_beta 90.00
_cell_angle_gamma 90.00
_symmetry_space_group_name_H-M 'P b a m'
_symmetry_Int_Tables_number 55
loop_
_symmetry_equiv_pos_as_xyz
'x,y,z'
'-x,-y,-z'
'-x,-y,z'
'x,y,-z'
'x+1/2,-y+1/2,-z'
'-x+1/2,y+1/2,z'
'-x+1/2,y+1/2,-z'
'x+1/2,-y+1/2,z'
loop_
_atom_site_label
_atom_site_fract_x
_atom_site_fract_y
_atom_site_fract_z
_atom_site_occupancy
Sr1 0.0734 0.1812 0.0000 1
Sb1 0.0000 0.5000 0.5000 1
O1 0.1327 0.6903 0.5000 1
O2 0.2125 0.4525 0.0000 1


# 2
# Sr5SbO8 | the Alexandria database | PBE | relaxed
# crystal system	tetragonal
# formation energy from raw total energies	-2.18	eV/atom
data_Sr5SbO8
_cell_length_a 7.4603
_cell_length_b 7.4603
_cell_length_c 7.9385
_cell_angle_alpha 90.00
_cell_angle_beta 90.00
_cell_angle_gamma 90.00
_symmetry_space_group_name_H-M 'I -4'
_symmetry_Int_Tables_number 82
loop_
_symmetry_equiv_pos_as_xyz
'x,y,z'
'y,-x,-z'
'-x,-y,z'
'-y,x,-z'
'x+1/2,y+1/2,z+1/2'
'y+1/2,-x+1/2,-z+1/2'
'-x+1/2,-y+1/2,z+1/2'
'-y+1/2,x+1/2,-z+1/2'
loop_
_atom_site_label
_atom_site_fract_x
_atom_site_fract_y
_atom_site_fract_z
_atom_site_occupancy
Sr1 0.0000 0.0000 0.0000 1
Sr2 0.1316 0.2626 0.6192 1
Sb1 0.0000 0.5000 0.2500 1
O1 0.0491 0.2436 0.3034 1
O2 0.0761 0.3170 0.9324 1


# 3
# Sr4SbO | the Alexandria database | PBE | relaxed
# crystal system	monoclinic
# formation energy from raw total energies	-1.10	eV/atom
data_Sr4SbO
_cell_length_a 14.8173
_cell_length_b 7.0033
_cell_length_c 8.2163
_cell_angle_alpha 90.00
_cell_angle_beta 105.32
_cell_angle_gamma 90.00
_symmetry_space_group_name_H-M 'C 1 2/c 1'
_symmetry_Int_Tables_number 15
loop_
_symmetry_equiv_pos_as_xyz
'x,y,z'
'-x,-y,-z'
'-x,y,-z+1/2'
'x,-y,z+1/2'
'x+1/2,y+1/2,z'
'-x+1/2,-y+1/2,-z'
'-x+1/2,y+1/2,-z+1/2'
'x+1/2,-y+1/2,z+1/2'
loop_
_atom_site_label
_atom_site_fract_x
_atom_site_fract_y
_atom_site_fract_z
_atom_site_occupancy
Sr1 0.1048 0.0931 0.4525 1
Sr2 0.1735 0.4497 0.1334 1
Sb1 0.0000 0.3228 0.7500 1
O1 0.2500 0.2500 0.5000 1


# 4
# Sr2SbO5 | the Alexandria database | PBE | relaxed
# crystal system	orthorhombic
# formation energy from raw total energies	-2.02	eV/atom
data_Sr2SbO5
_cell_length_a 4.1857
_cell_length_b 12.3736
_cell_length_c 11.1778
_cell_angle_alpha 90.00
_cell_angle_beta 90.00
_cell_angle_gamma 90.00
_symmetry_space_group_name_H-M 'C m c m'
_symmetry_Int_Tables_number 63
_symmetry_space_group_name_Hall '-C 2c 2'
loop_
_atom_site_label
_atom_site_fract_x
_atom_site_fract_y
_atom_site_fract_z
_atom_site_occupancy
Sr1 0.0000 0.1393 0.0730 1
Sb1 0.0000 0.1640 0.7500 1
O1 0.0000 0.0494 0.6283 1
O2 0.0000 0.2691 0.6141 1
O3 0.0000 0.3008 0.2500 1


| no. | energy (eV/cell) |
| --- | --- |
| 1 | -85.38 |
| 2 | -165.51 |
| 3 | -89.59 |
| 4 | -193.62 |